[1]
Below is a relaxed structure of CsKTc2Ir, with properties calculated at the PBE level.

Lattice parameters (Å, degrees): 5.2058 5.1778 5.2058 90.00 90.00 90.00
Last column: magnetic moment on the atom in μB.
Positions (direct):
Cs  0.0000  0.0000  0.0000  0.01
K  0.5000  0.5000  0.5000  0.00
Tc  0.5000  0.0000  0.0000  2.56
Ir  0.0000  0.5000  0.0000  0.59
Tc  0.0000  0.0000  0.5000  2.31

Summary:
Fermi-level density of states: 0.779 states/eV per atom
ΔH_f (0 K): 13.8 eV/f.u.

[2]
Below is a relaxed structure of CsKTl2Ir, with properties calculated at the PBE level.

Lattice parameters (Å, degrees): 5.3754 5.3754 6.2767 90.00 90.00 90.00
Positions (direct):
Cs  0.5000  0.5000  0.5000
Ir  0.0000  0.0000  0.0000
Tl  0.5000  0.0000  0.0000
Tl  0.0000  0.5000  0.0000
K  0.0000  0.0000  0.5000

Summary:
Fermi-level density of states: 0.378 states/eV per atom
ΔH_f (0 K): 0.5 eV/f.u.

[3]
Below is a relaxed structure of CsLa2Ir, with properties calculated at the PBE level.

Lattice parameters (Å, degrees): 8.7489 8.7489 8.7483 60.00 60.00 90.00
Positions (direct):
La  0.8750  0.1238  0.7500
La  0.8738  0.1250  0.2500
La  0.8762  0.6250  0.2500
Ir  0.0000  0.0000  0.0000
Cs  0.5000  0.5000  0.0000
La  0.3750  0.1262  0.7500
Cs  0.2500  0.7500  0.5000
Ir  0.7500  0.2500  0.5000

Summary:
Fermi-level density of states: 0.055 states/eV per atom
ΔH_f (0 K): 0.1 eV/f.u.

[4]
Below is a relaxed structure of CsLa2Ir, with properties calculated at the PBE level.

Lattice parameters (Å, degrees): 5.4476 5.4476 5.4476 60.00 60.00 60.00
Positions (direct):
Cs  0.0000  0.0000  0.0000
La  0.2500  0.2500  0.2500
La  0.7500  0.7500  0.7500
Ir  0.5000  0.5000  0.5000

Summary:
Fermi-level density of states: 1.399 states/eV per atom
ΔH_f (0 K): 1.3 eV/f.u.

[5]
Below is a relaxed structure of Cs3LaIr, with properties calculated at the PBE level.

Lattice parameters (Å, degrees): 6.0296 6.0296 6.0296 90.00 90.00 90.00
Last column: magnetic moment on the atom in μB.
Positions (direct):
Ir  0.0000  0.0000  0.0000  -0.21
Cs  0.0000  0.0000  0.5000  -0.04
Cs  0.0000  0.5000  0.0000  -0.03
Cs  0.5000  0.0000  0.0000  -0.05
La  0.5000  0.5000  0.5000  -0.67

Summary:
Fermi-level density of states: 1.063 states/eV per atom
ΔH_f (0 K): 6.0 eV/f.u.

[6]
Below is a relaxed structure of CsLaMg2Ir, with properties calculated at the PBE level.

Lattice parameters (Å, degrees): 5.4383 5.4383 5.3954 90.00 90.00 90.00
Positions (direct):
Mg  0.5000  0.0000  0.0000
Cs  0.5000  0.5000  0.5000
Ir  0.0000  0.0000  0.0000
La  0.0000  0.0000  0.5000
Mg  0.0000  0.5000  0.0000

Summary:
Fermi-level density of states: 0.555 states/eV per atom
ΔH_f (0 K): -0.8 eV/f.u.

[7]
Below is a relaxed structure of CsLaMoIr2, with properties calculated at the PBE level.

Lattice parameters (Å, degrees): 5.0900 5.0147 5.0900 90.00 90.00 90.00
Last column: magnetic moment on the atom in μB.
Positions (direct):
Cs  0.0000  0.0000  0.0000  0.03
Mo  0.0000  0.5000  0.0000  2.12
Ir  0.5000  0.0000  0.0000  0.13
La  0.5000  0.5000  0.5000  0.02
Ir  0.0000  0.0000  0.5000  0.24

Summary:
Fermi-level density of states: 1.089 states/eV per atom
ΔH_f (0 K): 10.7 eV/f.u.

[8]
Below is a relaxed structure of Cs2LaIrN, with properties calculated at the PBE level.

Lattice parameters (Å, degrees): 6.6786 6.6786 3.7339 90.00 90.00 90.00
Positions (direct):
N  0.0000  0.0000  0.0000
Cs  0.0000  0.5000  0.0000
Ir  0.0000  0.0000  0.5000
Cs  0.5000  0.0000  0.0000
La  0.5000  0.5000  0.5000

Summary:
Fermi-level density of states: 1.166 states/eV per atom
Formation energy (no corrections): 0.513 eV per atom

[9]
Below is a relaxed structure of CsLa2PIr, with properties calculated at the PBE level.

Lattice parameters (Å, degrees): 5.7563 5.7563 4.7196 90.00 90.00 90.00
Positions (direct):
La  0.5000  0.0000  0.0000
Cs  0.5000  0.5000  0.5000
Ir  0.0000  0.0000  0.0000
La  0.0000  0.5000  0.0000
P  0.0000  0.0000  0.5000

Summary:
Fermi-level density of states: 2.062 states/eV per atom
ΔH_f (0 K): -0.5 eV/f.u.

[10]
Below is a relaxed structure of CsLa2IrPd, with properties calculated at the PBE level.

Lattice parameters (Å, degrees): 5.7643 4.8859 5.7643 90.00 90.00 90.00
Positions (direct):
La  0.5000  0.0000  0.0000
Ir  0.5000  0.5000  0.5000
Cs  0.0000  0.0000  0.0000
Pd  0.0000  0.5000  0.0000
La  0.0000  0.0000  0.5000

Summary:
Fermi-level density of states: 0.853 states/eV per atom
ΔH_f (0 K): 7.2 eV/f.u.

[11]
Below is a relaxed structure of CsLa2IrRu, with properties calculated at the PBE level.

Lattice parameters (Å, degrees): 5.7238 4.8963 5.7238 90.00 90.00 90.00
Positions (direct):
Ru  0.0000  0.5000  0.0000
La  0.5000  0.0000  0.0000
Cs  0.5000  0.5000  0.5000
La  0.0000  0.0000  0.5000
Ir  0.0000  0.0000  0.0000

Summary:
Fermi-level density of states: 1.141 states/eV per atom
ΔH_f (0 K): 1.4 eV/f.u.

[12]
Below is a relaxed structure of CsLaIr2Ru, with properties calculated at the PBE level.

Lattice parameters (Å, degrees): 4.9625 5.6588 4.9625 90.00 90.00 90.00
Last column: magnetic moment on the atom in μB.
Positions (direct):
Cs  0.0000  0.0000  0.0000  -0.01
Ir  0.5000  0.0000  0.0000  0.16
Ir  0.0000  0.0000  0.5000  0.05
Ru  0.5000  0.5000  0.5000  1.94
La  0.0000  0.5000  0.0000  -0.16

Summary:
Fermi-level density of states: 1.275 states/eV per atom
ΔH_f (0 K): 12.6 eV/f.u.

[13]
Below is a relaxed structure of CsLaSc2Ir, with properties calculated at the PBE level.

Lattice parameters (Å, degrees): 5.6991 5.1393 5.6991 90.00 90.00 90.00
Positions (direct):
Sc  0.5000  0.0000  0.0000
Ir  0.0000  0.5000  0.0000
Cs  0.5000  0.5000  0.5000
Sc  0.0000  0.0000  0.5000
La  0.0000  0.0000  0.0000

Summary:
Fermi-level density of states: 1.310 states/eV per atom
ΔH_f (0 K): 5.1 eV/f.u.

[14]
Below is a relaxed structure of CsLa2TaIr, with properties calculated at the PBE level.

Lattice parameters (Å, degrees): 5.8672 5.0029 5.8672 90.00 90.00 90.00
Positions (direct):
La  0.5000  0.0000  0.0000
Ta  0.0000  0.5000  0.0000
La  0.0000  0.0000  0.5000
Ir  0.0000  0.0000  0.0000
Cs  0.5000  0.5000  0.5000

Summary:
Fermi-level density of states: 1.228 states/eV per atom
ΔH_f (0 K): 1.9 eV/f.u.

[15]
Below is a relaxed structure of CsLaZnIr2, with properties calculated at the PBE level.

Lattice parameters (Å, degrees): 5.1656 6.2448 5.1656 90.00 90.00 90.00
Positions (direct):
La  0.0000  0.0000  0.0000
Ir  0.5000  0.0000  0.0000
Cs  0.5000  0.5000  0.5000
Zn  0.0000  0.5000  0.0000
Ir  0.0000  0.0000  0.5000

Summary:
Fermi-level density of states: 0.228 states/eV per atom
ΔH_f (0 K): 4.5 eV/f.u.

[16]
Below is a relaxed structure of Cs2LiIr, with properties calculated at the PBE level.

Lattice parameters (Å, degrees): 9.2126 9.2126 9.2126 60.00 60.00 60.00
Positions (direct):
Ir  0.5000  0.5000  0.5000
Li  0.2500  0.2500  0.2500
Cs  0.6250  0.6250  0.6250
Cs  0.1250  0.6250  0.6250
Ir  0.7500  0.7500  0.7500
Cs  0.6250  0.1250  0.6250
Li  0.0000  0.0000  0.0000
Cs  0.6250  0.6250  0.1250

Summary:
Fermi-level density of states: 1.045 states/eV per atom
ΔH_f (0 K): 4.5 eV/f.u.

[17]
Below is a relaxed structure of CsLi3Ir, with properties calculated at the PBE level.

Lattice parameters (Å, degrees): 5.0197 5.0197 5.0197 90.00 90.00 90.00
Positions (direct):
Cs  0.5000  0.5000  0.5000
Li  0.5000  0.0000  0.0000
Li  0.0000  0.0000  0.5000
Ir  0.0000  0.0000  0.0000
Li  0.0000  0.5000  0.0000

Summary:
Fermi-level density of states: 0.542 states/eV per atom
ΔH_f (0 K): 1.4 eV/f.u.

[18]
Below is a relaxed structure of Cs2LiIr, with properties calculated at the PBE level.

Lattice parameters (Å, degrees): 5.6967 5.6967 5.6967 60.00 60.00 60.00
Positions (direct):
Cs  0.7500  0.7500  0.7500
Cs  0.2500  0.2500  0.2500
Li  0.0000  0.0000  0.0000
Ir  0.5000  0.5000  0.5000

Summary:
Fermi-level density of states: 0.002 states/eV per atom
ΔH_f (0 K): 3.5 eV/f.u.

[19]
Below is a relaxed structure of CsLi3Ir, with properties calculated at the PBE level.

Lattice parameters (Å, degrees): 4.8013 4.8013 4.8013 90.00 90.00 90.00
Positions (direct):
Li  0.5000  0.0000  0.0000
Li  0.0000  0.5000  0.0000
Ir  0.5000  0.5000  0.5000
Cs  0.0000  0.0000  0.0000
Li  0.0000  0.0000  0.5000

Summary:
Fermi-level density of states: 0.642 states/eV per atom
ΔH_f (0 K): 7.1 eV/f.u.

[20]
Below is a relaxed structure of Cs3Li2IrO6, with properties calculated at the PBE level.

Lattice parameters (Å, degrees): 7.9181 7.9181 6.5763 95.13 95.13 139.20
Last column: magnetic moment on the atom in μB.
Positions (direct):
O  0.8741  0.6900  0.8473  0.11
Li  0.5778  0.4222  0.0000  0.02
O  0.7790  0.7790  0.1969  0.12
Li  0.4222  0.5778  0.0000  0.02
Cs  0.1528  0.8472  0.5000  0.01
Cs  0.8472  0.1528  0.5000  0.01
O  0.1259  0.3100  0.1527  0.11
Ir  0.0000  0.0000  0.0000  1.02
O  0.6900  0.8741  0.8473  0.11
Cs  0.5000  0.5000  0.5000  0.00
O  0.2210  0.2210  0.8031  0.12
O  0.3100  0.1259  0.1527  0.11

Summary:
Fermi-level density of states: 0.354 states/eV per atom
Formation energy (no corrections): -1.171 eV per atom

[21]
Below is a relaxed structure of CsLiIrO4, with properties calculated at the PBE level.

Lattice parameters (Å, degrees): 6.2007 6.2007 5.9310 121.52 121.52 90.00
Last column: magnetic moment on the atom in μB.
Positions (direct):
Ir  0.2500  0.7500  0.5000  0.49
Li  0.5000  0.5000  0.0000  0.01
Cs  0.0000  0.0000  0.0000  0.00
O  0.2548  0.0975  0.6828  0.10
O  0.4147  0.7452  0.3172  0.10
O  0.4280  0.5853  0.6828  0.10
O  0.9025  0.5720  0.3172  0.10

Summary:
Formation energy (no corrections): -1.063 eV per atom

[22]
Below is a relaxed structure of CsSrLi2Ir, with properties calculated at the PBE level.

Lattice parameters (Å, degrees): 4.7778 4.7778 6.1672 90.00 90.00 90.00
Positions (direct):
Cs  0.0000  0.0000  0.0000
Sr  0.0000  0.0000  0.5000
Li  0.5000  0.0000  0.0000
Ir  0.5000  0.5000  0.5000
Li  0.0000  0.5000  0.0000

Summary:
Fermi-level density of states: 0.544 states/eV per atom
ΔH_f (0 K): 6.9 eV/f.u.

[23]
Below is a relaxed structure of CsLiTc2Ir, with properties calculated at the PBE level.

Lattice parameters (Å, degrees): 4.8588 4.4013 4.8588 90.00 90.00 90.00
Positions (direct):
Tc  0.5000  0.0000  0.0000
Ir  0.5000  0.5000  0.5000
Li  0.0000  0.5000  0.0000
Cs  0.0000  0.0000  0.0000
Tc  0.0000  0.0000  0.5000

Summary:
Fermi-level density of states: 1.671 states/eV per atom
ΔH_f (0 K): 13.8 eV/f.u.

[24]
Below is a relaxed structure of CsLi2TiIr, with properties calculated at the PBE level.

Lattice parameters (Å, degrees): 5.7342 4.5686 5.7342 90.00 90.00 90.00
Last column: magnetic moment on the atom in μB.
Positions (direct):
Li  0.5000  0.0000  0.0000  0.03
Ti  0.0000  0.0000  0.0000  0.79
Li  0.0000  0.0000  0.5000  0.04
Ir  0.0000  0.5000  0.0000  -0.18
Cs  0.5000  0.5000  0.5000  0.02

Summary:
Fermi-level density of states: 1.226 states/eV per atom
ΔH_f (0 K): 3.1 eV/f.u.

[25]
Below is a relaxed structure of CsLiTl2Ir, with properties calculated at the PBE level.

Lattice parameters (Å, degrees): 5.3491 5.3491 5.3754 90.00 90.00 90.00
Positions (direct):
Ir  0.0000  0.0000  0.0000
Li  0.0000  0.0000  0.5000
Tl  0.5000  0.0000  0.0000
Cs  0.5000  0.5000  0.5000
Tl  0.0000  0.5000  0.0000

Summary:
Fermi-level density of states: 0.456 states/eV per atom
ΔH_f (0 K): 0.1 eV/f.u.

[26]
Below is a relaxed structure of Cs3MgIr, with properties calculated at the PBE level.

Lattice parameters (Å, degrees): 6.4822 6.4822 6.4822 90.00 90.00 90.00
Positions (direct):
Cs  0.0000  0.5000  0.0000
Ir  0.0000  0.0000  0.0000
Cs  0.5000  0.0000  0.0000
Cs  0.0000  0.0000  0.5000
Mg  0.5000  0.5000  0.5000

Summary:
Fermi-level density of states: 1.253 states/eV per atom
ΔH_f (0 K): 3.7 eV/f.u.

[27]
Below is a relaxed structure of CsMgIr3, with properties calculated at the PBE level.

Lattice parameters (Å, degrees): 5.0050 5.0050 5.0050 90.00 90.00 90.00
Last column: magnetic moment on the atom in μB.
Positions (direct):
Ir  0.0000  0.0000  0.5000  0.18
Mg  0.5000  0.5000  0.5000  0.00
Cs  0.0000  0.0000  0.0000  0.00
Ir  0.5000  0.0000  0.0000  0.33
Ir  0.0000  0.5000  0.0000  0.35

Summary:
Fermi-level density of states: 1.120 states/eV per atom
ΔH_f (0 K): 13.5 eV/f.u.

[28]
Below is a relaxed structure of CsMgIr3, with properties calculated at the PBE level.

Lattice parameters (Å, degrees): 4.8452 4.8452 4.8452 90.00 90.00 90.00
Positions (direct):
Ir  0.0000  0.5000  0.0000
Mg  0.0000  0.0000  0.0000
Ir  0.5000  0.0000  0.0000
Cs  0.5000  0.5000  0.5000
Ir  0.0000  0.0000  0.5000

Summary:
Fermi-level density of states: 1.226 states/eV per atom
ΔH_f (0 K): 8.7 eV/f.u.

| no. | mass density (g cm⁻³) |
| --- | --- |
| 1 | 6.63 |
| 2 | 7.08 |
| 3 | 4.23 |
| 4 | 8.76 |
| 5 | 5.53 |
| 6 | 5.33 |
| 7 | 9.61 |
| 8 | 6.09 |
| 9 | 6.73 |
| 10 | 7.26 |
| 11 | 7.29 |
| 12 | 9.02 |
| 13 | 5.51 |
| 14 | 7.56 |
| 15 | 7.19 |
| 16 | 2.79 |
| 17 | 4.54 |
| 18 | 5.91 |
| 19 | 5.19 |
| 20 | 4.47 |
| 21 | 4.28 |
| 22 | 5.03 |
| 23 | 8.44 |
| 24 | 4.28 |
| 25 | 8.00 |
| 26 | 3.75 |
| 27 | 9.72 |
| 28 | 10.71 |